# CaZr2Re

Crystalline CaZr2Re at its relaxed geometry (GGA-PBE, Alexandria via LeMat-Bulk).

Computed properties:
Total magnetization, μB per formula unit: 0.00
Theoretical density, g cm⁻³: 7.95
E_form, eV per atom: 0.5006
Raw total energy, eV/atom: -7.39
Symmetry: I-4m2

a b c (Å): 5.6843 5.6843 5.6843
angles (deg): 136.68 136.68 62.93
With the nearest neighbours (Å) after each atom.
Fractional coordinates of all 4 atoms:
Re (0.7500, 0.2500, 0.5000)  8 Zr 2.97-3.21, 4 Ca 3.21
Ca (0.5000, 0.5000, 0.0000)  8 Zr 2.97-3.21, 4 Re 3.21
Zr (0.0000, 0.0000, 0.0000)  4 Ca 2.97, 4 Re 3.21, 4 Zr 3.21
Zr (0.2500, 0.7500, 0.5000)  4 Re 2.97, 4 Ca 3.21, 4 Zr 3.21